The following is a DFT calculation (PBE-GGA) of a relaxed structure of Sr2TaIrN4O2.

```
20
Lattice="5.625 0.000 0.000 0.021 5.640 0.000 0.009 0.037 8.051" Properties=species:S:1:pos:R:3 pbc="T T T"
N 4.255 1.457 4.139
O 2.799 5.461 6.077
Ir 2.778 5.581 0.076
Ta 0.060 2.891 8.015
O 5.638 3.017 6.032
Sr 2.831 2.793 2.040
N 4.241 4.228 3.925
Ta 2.814 0.028 4.092
Ir 0.018 2.849 3.836
N 1.548 1.450 7.969
N 1.386 4.229 3.911
Sr 2.881 2.852 6.023
Sr 5.619 0.037 6.034
N 4.142 4.230 0.099
O 4.328 1.362 7.922
N 1.387 4.283 0.156
N 1.397 1.462 4.110
O 2.837 0.181 2.030
Sr 5.576 0.030 2.028
N 5.618 2.713 1.993
```

Output
**Space-group type**: No. 1
**ΔE to the lowest computed polymorph**: 0.029 eV/atom



The following is a DFT calculation (PBE-GGA) of a relaxed structure of Sr2TaIrN4O2.

```
20
Lattice="5.657 0.000 0.000 0.058 5.670 0.000 0.019 0.040 7.988" Properties=species:S:1:pos:R:3 pbc="T T T"
Sr 2.863 2.968 5.991
Sr 2.825 2.938 1.992
N 5.591 2.791 1.984
Ta 5.690 2.821 4.044
Ir 2.857 0.183 3.893
O 4.237 4.278 4.034
O 1.418 4.349 3.888
Sr 0.138 5.624 5.994
N 4.323 4.209 7.950
Ir 5.620 2.697 0.055
N 4.273 1.397 4.074
O 2.775 5.616 5.954
Ta 2.880 0.009 0.001
N 0.111 2.905 6.039
N 1.444 1.473 0.023
O 1.445 4.283 0.094
Sr 0.103 5.598 1.988
N 1.487 1.462 3.974
N 4.322 1.404 7.902
N 2.915 0.058 2.013
```

Output
**Space-group type**: No. 1
**ΔE to the lowest computed polymorph**: 0.011 eV/atom



The following is a DFT calculation (PBE-GGA) of a relaxed structure of Sr4Ta3IrN4O8.

```
20
Lattice="-5.002 -0.730 -2.479 -0.270 -5.224 2.083 -3.699 2.835 6.629" Properties=species:S:1:pos:R:3 pbc="T T T"
O -1.245 -3.850 0.952
N -0.908 0.696 1.627
Ta -4.486 -1.559 3.117
N -5.404 -0.856 4.762
Sr -2.937 -0.464 6.064
Sr -1.032 -1.925 2.648
Ta -2.636 -2.977 -0.198
O -1.520 -1.314 -0.286
O -6.043 -2.829 2.791
Ta -1.850 1.417 3.314
Sr -5.303 1.783 3.783
N -2.791 2.139 5.002
N -3.568 -2.263 1.471
O -5.411 -0.137 1.992
O -3.752 -4.640 -0.110
O -4.027 -2.104 -1.348
Ir 0.000 0.000 0.000
Sr -3.398 0.322 0.367
O -2.928 -0.289 3.442
O -3.561 -2.982 4.241
```

Output
**Space-group type**: No. 83
**Calculated total energy**: -164.41 eV per cell



The following is a DFT calculation (PBE-GGA) of a relaxed structure of Sr2TaIrN4O2.

```
20
Lattice="-3.006 0.207 -4.758 3.984 -2.965 -2.668 -3.701 -6.850 2.016" Properties=species:S:1:pos:R:3 pbc="T T T"
O -3.379 -7.315 0.247
N 0.945 -3.149 -0.791
O 0.723 -2.259 -5.717
Sr -1.806 -7.898 -5.896
N -0.399 -7.929 -3.513
N 2.107 -2.190 -3.291
Ta 1.956 -1.569 -1.334
Sr -2.240 -6.502 -2.151
Sr 3.010 -4.676 -2.207
Ir -2.923 -4.739 -4.964
N -4.800 -7.440 -2.136
N -3.080 -4.098 -3.185
Sr -0.458 -3.141 -3.212
Ir -5.143 -6.655 -0.417
Ta -3.364 -3.326 -1.397
N -1.618 -4.184 -0.723
O -2.269 -1.675 -1.875
O 0.288 -5.474 -2.243
N -1.114 -5.386 -4.699
N -3.669 -6.477 -4.592
```

Output
**Space-group type**: No. 1
**ΔE to the lowest computed polymorph**: 0.043 eV/atom



The following is a DFT calculation (PBE-GGA) of a relaxed structure of Sr2TaIrN4O2.

```
20
Lattice="5.627 0.000 0.000 0.025 5.645 0.000 0.019 0.011 8.046" Properties=species:S:1:pos:R:3 pbc="T T T"
N 1.458 4.273 7.962
N 4.260 4.157 4.122
Sr 0.083 5.597 2.000
N 4.234 4.250 7.935
Sr 2.830 2.878 1.978
Sr 0.065 5.639 6.041
Ir 2.847 0.025 7.860
O 2.808 5.448 2.010
N 4.201 1.360 0.115
O 5.641 2.640 6.056
Sr 2.797 2.870 6.035
O 5.633 3.006 2.052
N 1.445 1.394 0.092
Ir 5.590 2.771 4.084
N 1.431 1.542 3.929
Ta 0.018 2.818 0.055
N 4.288 1.392 3.954
Ta 2.865 0.052 3.976
O 1.375 4.327 4.182
N 2.840 0.128 6.017
```

Output
**Space-group type**: No. 1
**ΔE to the lowest computed polymorph**: 0.028 eV/atom



The following is a DFT calculation (PBE-GGA) of a relaxed structure of Sr2TaIrN4O2.

```
20
Lattice="5.628 0.000 0.000 0.026 5.640 0.000 0.033 0.026 8.053" Properties=species:S:1:pos:R:3 pbc="T T T"
N 4.267 4.216 3.918
Ir 2.780 5.583 0.075
N 1.451 1.335 7.968
O 5.644 2.997 6.032
O 2.806 0.172 2.031
O 4.188 1.517 7.946
N 4.254 4.353 0.102
Ta 2.837 0.013 4.093
N 1.417 1.449 4.119
O 2.855 5.463 6.079
N 4.282 1.439 4.125
N 1.487 4.185 0.139
N 5.647 2.713 1.993
Sr 5.623 0.014 2.041
Ir 0.045 2.835 3.837
Ta 0.088 2.878 8.016
Sr 2.872 2.780 2.021
Sr 5.621 0.029 6.034
N 1.411 4.214 3.931
Sr 2.894 2.837 6.028
```

Output
**Space-group type**: No. 1
**ΔE to the lowest computed polymorph**: 0.029 eV/atom



The following is a DFT calculation (PBE-GGA) of a relaxed structure of Sr2TaIrN4O2.

```
20
Lattice="-4.175 -3.677 1.008 3.604 -4.285 -0.793 1.795 0.120 7.798" Properties=species:S:1:pos:R:3 pbc="T T T"
O 0.807 -1.703 4.084
N 2.144 -2.138 1.582
Sr 0.112 -3.991 2.061
O -0.369 -5.994 0.317
Sr -3.699 -3.644 2.944
Sr 0.775 -7.855 6.044
N -2.201 -3.915 0.570
N -1.506 -1.799 2.480
N 2.417 -4.066 3.612
Ir 1.742 -2.168 -0.268
O -0.887 -5.683 6.435
O -1.167 -3.767 4.390
N 1.658 -1.892 7.753
Ta -0.255 -1.749 8.221
Ta 2.694 -2.121 3.496
N 2.763 -6.052 5.507
N 3.476 -3.962 7.414
Sr 0.990 -3.910 5.941
N 0.448 -6.047 3.965
Ir 2.305 -5.961 3.584
```

Output
**Space-group type**: No. 1
**ΔE to the lowest computed polymorph**: 0.011 eV/atom



The following is a DFT calculation (PBE-GGA) of a relaxed structure of Sr2TaIrN4O2.

```
20
Lattice="5.639 0.000 0.000 -0.011 5.640 0.000 -0.011 -0.002 8.032" Properties=species:S:1:pos:R:3 pbc="T T T"
Sr -0.014 5.632 1.986
N 1.426 4.266 7.942
N 4.202 4.284 8.004
O 5.539 2.698 5.958
N 1.479 1.507 3.981
O 4.371 1.256 3.843
Ir 0.052 2.757 3.879
N 4.182 1.417 0.098
O 4.103 4.063 4.042
Sr 5.620 0.016 6.026
Sr 2.830 2.862 6.041
Ta -0.013 2.848 7.997
N 1.406 1.399 0.043
N 0.020 2.916 2.018
O 1.279 4.289 4.129
N 2.745 5.539 2.032
Ir 2.805 0.036 0.129
Ta 2.801 0.024 4.118
N 2.860 0.089 6.053
Sr 2.844 2.840 2.006
```

Output
**Space-group type**: No. 1
**ΔE to the lowest computed polymorph**: 0.052 eV/atom



The following is a DFT calculation (PBE-GGA) of a relaxed structure of Sr2TaIrN4O2.

```
20
Lattice="-1.754 5.050 -1.772 -1.131 -2.170 -5.066 -7.490 -1.791 2.440" Properties=species:S:1:pos:R:3 pbc="T T T"
Ta -3.225 3.340 -0.753
N -7.688 3.067 -1.150
Ta -6.600 -1.195 -1.180
O -3.693 0.475 -4.025
O -4.699 -0.817 -1.699
N -3.090 1.444 -1.528
N -6.574 -2.993 -1.980
Sr -4.198 0.387 0.759
N -8.509 -1.513 -0.560
N -2.684 -1.972 -3.233
O -6.233 0.838 -5.190
O -6.668 0.641 -0.308
Ir -2.698 -0.270 -2.351
N -2.426 1.528 -6.345
Ir -8.222 0.312 -4.490
Sr -5.615 1.778 -2.644
Sr -7.936 -0.506 1.979
N -3.817 4.052 -2.489
N -7.299 -0.381 -2.931
Sr -1.877 2.673 -3.860
```

Output
**Space-group type**: No. 4
**ΔE to the lowest computed polymorph**: 0.000 eV/atom



The following is a DFT calculation (PBE-GGA) of a relaxed structure of TbIrNO.

```
8
Lattice="-0.140 4.097 -4.331 -5.509 -2.207 0.592 -0.454 2.127 2.229" Properties=species:S:1:pos:R:3 pbc="T T T"
Tb -4.920 1.136 -0.105
O -0.716 2.725 -2.632
Ir -2.344 2.420 0.543
Ir -5.140 1.950 -3.108
N -3.525 1.301 -2.178
N -0.802 1.577 1.146
Tb -2.752 3.682 -2.093
O -3.758 -0.847 0.157
```

Output
**Space-group type**: No. 8
**ΔE to the lowest computed polymorph**: 0.377 eV/atom



The following is a DFT calculation (PBE-GGA) of a relaxed structure of TbIrNO.

```
16
Lattice="-1.796 -3.502 3.865 -5.282 -2.899 -5.081 3.493 -3.558 -1.601" Properties=species:S:1:pos:R:3 pbc="T T T"
N 0.503 -5.150 0.550
Tb -0.629 -7.515 0.591
Ir 0.082 -5.195 2.565
Ir -5.172 -3.232 -4.693
Ir -4.032 -6.194 -4.189
O -0.861 -4.428 -2.441
Tb -1.254 -6.600 -2.807
Tb -1.560 -4.145 -0.364
N -1.664 -4.191 2.256
Tb -2.185 -3.230 -3.762
N -2.270 -5.413 -4.913
N -4.437 -4.454 -3.208
Ir -1.058 -2.233 2.061
O -1.976 -6.298 -0.717
O -3.721 -4.516 0.080
O -2.606 -2.646 -1.644
```

Output
**Space-group type**: No. 29
**ΔE to the lowest computed polymorph**: 0.000 eV/atom



The following is a DFT calculation (PBE-GGA) of a relaxed structure of TbIrNO.

```
8
Lattice="3.575 0.810 0.654 -1.302 4.826 1.137 -0.640 -1.409 5.245" Properties=species:S:1:pos:R:3 pbc="T T T"
O 0.177 2.674 6.321
N -1.513 4.323 2.914
Ir 0.729 1.917 4.238
N -1.067 1.458 4.026
Tb -0.520 -1.113 4.219
O 1.441 1.610 0.729
Ir 0.254 4.718 3.366
Tb -0.782 2.155 1.604
```

Output
**Space-group type**: No. 26
**ΔE to the lowest computed polymorph**: 0.347 eV/atom



Please write out number 3 again, unchanged.
The following is a DFT calculation (PBE-GGA) of a relaxed structure of Sr4Ta3IrN4O8.

```
20
Lattice="-5.002 -0.730 -2.479 -0.270 -5.224 2.083 -3.699 2.835 6.629" Properties=species:S:1:pos:R:3 pbc="T T T"
O -1.245 -3.850 0.952
N -0.908 0.696 1.627
Ta -4.486 -1.559 3.117
N -5.404 -0.856 4.762
Sr -2.937 -0.464 6.064
Sr -1.032 -1.925 2.648
Ta -2.636 -2.977 -0.198
O -1.520 -1.314 -0.286
O -6.043 -2.829 2.791
Ta -1.850 1.417 3.314
Sr -5.303 1.783 3.783
N -2.791 2.139 5.002
N -3.568 -2.263 1.471
O -5.411 -0.137 1.992
O -3.752 -4.640 -0.110
O -4.027 -2.104 -1.348
Ir 0.000 0.000 0.000
Sr -3.398 0.322 0.367
O -2.928 -0.289 3.442
O -3.561 -2.982 4.241
```

Output
**Space-group type**: No. 83
**Calculated total energy**: -164.41 eV per cell



Please write out number 12 again, unchanged.
The following is a DFT calculation (PBE-GGA) of a relaxed structure of TbIrNO.

```
8
Lattice="3.575 0.810 0.654 -1.302 4.826 1.137 -0.640 -1.409 5.245" Properties=species:S:1:pos:R:3 pbc="T T T"
O 0.177 2.674 6.321
N -1.513 4.323 2.914
Ir 0.729 1.917 4.238
N -1.067 1.458 4.026
Tb -0.520 -1.113 4.219
O 1.441 1.610 0.729
Ir 0.254 4.718 3.366
Tb -0.782 2.155 1.604
```

Output
**Space-group type**: No. 26
**ΔE to the lowest computed polymorph**: 0.347 eV/atom